HfCoO3: relaxed, PBE+U.

Summary:
Mass density (g/cm3): 9.798
VASP energy (eV/atom): -7.40
M_tot (μB per formula unit): 0.65

extended XYZ file:
```
5
Lattice="3.644 0.000 0.000 0.000 3.644 0.000 0.000 0.000 3.644" Properties=species:S:1:pos:R:3 pbc="T T T"
Hf 0.000 0.000 0.000
Co 1.822 1.822 1.822
O 0.000 1.822 1.822
O 1.822 0.000 1.822
O 1.822 1.822 0.000
```